Below is an optimized crystal structure of MgCdCo2F8, with properties calculated at the GGA+U level.

extended XYZ file:
```
12
Lattice="4.8365 0.0000 0.0000 0.0000 6.5654 0.0000 -0.0653 0.0000 4.8510" Properties=species:S:1:pos:R:3 pbc="T T T"
Mg 0.0000 0.0000 0.0000
Cd 0.0000 3.2827 0.0000
Co 2.3856 1.5795 2.4255
Co 2.3856 4.9860 2.4255
F 0.9616 1.4823 0.9724
F 0.9616 5.0831 0.9724
F 1.4043 0.0000 3.3910
F 1.5056 3.2827 3.2894
F 3.2657 3.2827 1.5616
F 3.3670 0.0000 1.4599
F 3.8097 1.4823 3.8785
F 3.8097 5.0831 3.8785
```

Calculated values
V = 12.84 Å³ per atom
DFT total energy = -0.176 hartree per atom